## Pr2DyHoEr (GGA-PBE)

Data for a geometry-optimized Pr2DyHoEr structure.

Cell: 7.1594 7.1594 7.3136 Å, 90.00 90.00 107.60°
With the nearest neighbours (Å) after each atom.
Atoms (fractional coordinates):
Pr 0.1944 0.1944 0.0000  2 Ho 3.17, 1 Pr 3.29, 2 Er 3.51
Pr 0.1944 0.1944 0.5000  2 Ho 3.17, 1 Pr 3.29, 2 Er 3.51
Pr 0.8056 0.8056 0.0000  2 Ho 3.17, 1 Pr 3.29, 2 Er 3.51
Pr 0.8056 0.8056 0.5000  2 Ho 3.17, 1 Pr 3.29, 2 Er 3.51
Dy 0.2380 0.7620 0.7500  1 Ho 3.22
Dy 0.7620 0.2380 0.2500  1 Ho 3.22
Ho 0.4833 0.5167 0.2500  1 Er 3.08, 4 Pr 3.17, 1 Dy 3.22
Ho 0.5167 0.4833 0.7500  1 Er 3.08, 4 Pr 3.17, 1 Dy 3.22
Er 0.2169 0.7831 0.2500  1 Ho 3.08
Er 0.7831 0.2169 0.7500  1 Ho 3.08

Results
**Symmetry**: Cmcm
**Crystal system**: orthorhombic
**Calculated formation energy**: 9.9 kcal/mol of atoms

***

## PrDyHo3Er (GGA-PBE)

Data for a geometry-optimized PrDyHo3Er structure.

Cell: 6.2817 5.6547 10.8820 Å, 90.00 90.12 90.00°
With the nearest neighbours (Å) after each atom.
Atoms (fractional coordinates):
Pr 0.1685 0.2500 0.1672  3 Er 3.53-3.65, 7 Ho 3.53-3.64, 2 Dy 3.63
Pr 0.8315 0.7500 0.8328  3 Er 3.53-3.65, 7 Ho 3.53-3.64, 2 Dy 3.63
Dy 0.3309 0.7500 0.6656  8 Ho 3.51-3.64, 2 Er 3.51, 2 Pr 3.63
Dy 0.6691 0.2500 0.3344  8 Ho 3.51-3.64, 2 Er 3.51, 2 Pr 3.63
Ho 0.1658 0.2500 0.5002  4 Dy 3.51-3.64, 6 Ho 3.51-3.63, 1 Er 3.60, 1 Pr 3.62
Ho 0.3355 0.7500 0.9992  3 Ho 3.50-3.66, 4 Pr 3.53-3.64, 4 Er 3.53-3.66, 1 Dy 3.63
Ho 0.3370 0.7500 0.3359  3 Dy 3.51-3.59, 5 Ho 3.52-3.66, 2 Pr 3.53, 2 Er 3.61-3.65
Ho 0.6630 0.2500 0.6641  3 Dy 3.51-3.59, 5 Ho 3.52-3.66, 2 Pr 3.53, 2 Er 3.61-3.65
Ho 0.6645 0.2500 0.0008  3 Ho 3.50-3.66, 4 Pr 3.53-3.64, 4 Er 3.53-3.66, 1 Dy 3.63
Ho 0.8342 0.7500 0.4998  4 Dy 3.51-3.64, 6 Ho 3.51-3.63, 1 Er 3.60, 1 Pr 3.62
Er 0.1667 0.2500 0.8313  2 Dy 3.51, 3 Pr 3.53-3.65, 7 Ho 3.53-3.66
Er 0.8333 0.7500 0.1687  2 Dy 3.51, 3 Pr 3.53-3.65, 7 Ho 3.53-3.66

Results
**Symmetry**: P2_1/m
**Crystal system**: monoclinic
**Calculated formation energy**: 0.3 kcal/mol of atoms

***

## PrDyHoEr (GGA-PBE)

Data for a geometry-optimized PrDyHoEr structure.

Cell: 5.6924 5.6924 5.6924 Å, 60.00 60.00 60.00°
With the nearest neighbours (Å) after each atom.
Atoms (fractional coordinates):
Pr 0.0000 0.0000 0.0000  4 Er 3.49, 4 Ho 3.49
Dy 0.5000 0.5000 0.5000  4 Ho 3.49, 4 Er 3.49
Ho 0.7500 0.7500 0.7500  4 Pr 3.49, 4 Dy 3.49
Er 0.2500 0.2500 0.2500  4 Dy 3.49, 4 Pr 3.49

Results
**Energy relative to the lowest polymorph listed for this composition**: 0.0000 eV per atom
**Symmetry**: F-43m
**Crystal system**: cubic
**Calculated formation energy**: 2.8 kcal/mol of atoms

***

## Pr2Dy6HoEr3 (GGA-PBE)

Data for a geometry-optimized Pr2Dy6HoEr3 structure.

Cell: 6.1639 6.1639 11.7934 Å, 94.98 94.98 119.96°
With the nearest neighbours (Å) after each atom.
Atoms (fractional coordinates):
Pr 0.1665 0.8335 0.0000  3 Pr 3.56, 3 Ho 3.56, 6 Dy 3.59-3.60
Pr 0.8335 0.1665 0.0000  3 Pr 3.56, 3 Ho 3.56, 6 Dy 3.59-3.60
Dy 0.0826 0.4148 0.7461  3 Er 3.52, 6 Dy 3.55-3.57, 1 Ho 3.59, 2 Pr 3.59-3.60
Dy 0.2530 0.2530 0.2542  3 Er 3.51-3.52, 6 Dy 3.55-3.57, 1 Ho 3.59, 2 Pr 3.60
Dy 0.4148 0.0826 0.7461  3 Er 3.52, 6 Dy 3.55-3.57, 1 Ho 3.59, 2 Pr 3.59-3.60
Dy 0.5852 0.9174 0.2539  3 Er 3.52, 6 Dy 3.55-3.57, 1 Ho 3.59, 2 Pr 3.59-3.60
Dy 0.7470 0.7470 0.7458  3 Er 3.51-3.52, 6 Dy 3.55-3.57, 1 Ho 3.59, 2 Pr 3.60
Dy 0.9174 0.5852 0.2539  3 Er 3.52, 6 Dy 3.55-3.57, 1 Ho 3.59, 2 Pr 3.59-3.60
Ho 0.5000 0.5000 0.0000  6 Pr 3.56, 6 Dy 3.59
Er 0.0000 0.0000 0.5000  6 Dy 3.52, 6 Er 3.56
Er 0.3336 0.6664 0.5000  6 Dy 3.51-3.52, 6 Er 3.55-3.56
Er 0.6664 0.3336 0.5000  6 Dy 3.51-3.52, 6 Er 3.55-3.56

Results
**Symmetry**: C2/m
**Crystal system**: monoclinic
**Calculated formation energy**: 0.5 kcal/mol of atoms

***

## Pr3DyHo6Er2 (GGA-PBE)

Data for a geometry-optimized Pr3DyHo6Er2 structure.

Cell: 6.1896 6.1896 11.7975 Å, 95.01 95.01 119.98°
With the nearest neighbours (Å) after each atom.
Atoms (fractional coordinates):
Pr 0.0000 0.0000 0.0000  6 Pr 3.57, 6 Ho 3.61
Pr 0.3333 0.6667 0.0000  6 Pr 3.57, 6 Ho 3.61
Pr 0.6667 0.3333 0.0000  6 Pr 3.57, 6 Ho 3.61
Dy 0.5000 0.5000 0.5000  6 Ho 3.51-3.52, 6 Er 3.57
Ho 0.0849 0.4184 0.2551  2 Er 3.51, 1 Dy 3.52, 6 Ho 3.57-3.58, 3 Pr 3.61
Ho 0.2481 0.2481 0.7449  2 Er 3.51, 1 Dy 3.51, 6 Ho 3.57-3.58, 3 Pr 3.61
Ho 0.4184 0.0849 0.2551  2 Er 3.51, 1 Dy 3.52, 6 Ho 3.57-3.58, 3 Pr 3.61
Ho 0.5816 0.9151 0.7449  2 Er 3.51, 1 Dy 3.52, 6 Ho 3.57-3.58, 3 Pr 3.61
Ho 0.7519 0.7519 0.2551  2 Er 3.51, 1 Dy 3.51, 6 Ho 3.57-3.58, 3 Pr 3.61
Ho 0.9151 0.5816 0.7449  2 Er 3.51, 1 Dy 3.52, 6 Ho 3.57-3.58, 3 Pr 3.61
Er 0.1667 0.8333 0.5000  6 Ho 3.51, 3 Dy 3.57, 3 Er 3.57
Er 0.8333 0.1667 0.5000  6 Ho 3.51, 3 Dy 3.57, 3 Er 3.57

Results
**Symmetry**: C2/m
**Crystal system**: monoclinic
**Calculated formation energy**: 0.5 kcal/mol of atoms

***

## PrDy6HoEr2 (GGA-PBE)

Data for a geometry-optimized PrDy6HoEr2 structure.

Cell: 8.7708 8.7708 9.4782 Å, 93.32 93.32 117.43°
With the nearest neighbours (Å) after each atom.
Atoms (fractional coordinates):
Pr 0.0277 0.9723 0.7500  4 Er 3.38-3.46, 4 Dy 3.56-3.69
Pr 0.9723 0.0277 0.2500  4 Er 3.38-3.46, 4 Dy 3.56-3.69
Dy 0.0154 0.5626 0.6824  3 Dy 3.20-3.55, 2 Er 3.39-3.56, 1 Ho 3.45, 1 Pr 3.56
Dy 0.1220 0.7525 0.0568  7 Dy 3.39-3.71, 1 Er 3.50, 1 Pr 3.69
Dy 0.2475 0.8780 0.4432  7 Dy 3.39-3.71, 1 Er 3.50, 1 Pr 3.69
Dy 0.2918 0.5118 0.8826  4 Dy 3.20-3.49, 3 Er 3.26-3.42, 2 Ho 3.41-3.51
Dy 0.4374 0.9846 0.8176  3 Dy 3.20-3.55, 2 Er 3.39-3.56, 1 Ho 3.45, 1 Pr 3.56
Dy 0.4882 0.7082 0.6174  4 Dy 3.20-3.49, 3 Er 3.26-3.42, 2 Ho 3.41-3.51
Dy 0.5118 0.2918 0.3826  4 Dy 3.20-3.49, 3 Er 3.26-3.42, 2 Ho 3.41-3.51
Dy 0.5626 0.0154 0.1824  3 Dy 3.20-3.55, 2 Er 3.39-3.56, 1 Ho 3.45, 1 Pr 3.56
Dy 0.7082 0.4882 0.1174  4 Dy 3.20-3.49, 3 Er 3.26-3.42, 2 Ho 3.41-3.51
Dy 0.7525 0.1220 0.5568  7 Dy 3.39-3.71, 1 Er 3.50, 1 Pr 3.69
Dy 0.8780 0.2475 0.9432  7 Dy 3.39-3.71, 1 Er 3.50, 1 Pr 3.69
Dy 0.9846 0.4374 0.3176  3 Dy 3.20-3.55, 2 Er 3.39-3.56, 1 Ho 3.45, 1 Pr 3.56
Ho 0.4102 0.5898 0.2500  6 Dy 3.41-3.51, 2 Er 3.51
Ho 0.5898 0.4102 0.7500  6 Dy 3.41-3.51, 2 Er 3.51
Er 0.2005 0.3053 0.5478  6 Dy 3.26-3.56, 2 Pr 3.38-3.46, 1 Ho 3.51
Er 0.3053 0.2005 0.0478  6 Dy 3.26-3.56, 2 Pr 3.38-3.46, 1 Ho 3.51
Er 0.6947 0.7995 0.9522  6 Dy 3.26-3.56, 2 Pr 3.38-3.46, 1 Ho 3.51
Er 0.7995 0.6947 0.4522  6 Dy 3.26-3.56, 2 Pr 3.38-3.46, 1 Ho 3.51

Results
**Symmetry**: C2/c
**Crystal system**: monoclinic
**Calculated formation energy**: 2.8 kcal/mol of atoms

***

What did the first record say?
## Pr2DyHoEr (GGA-PBE)

Data for a geometry-optimized Pr2DyHoEr structure.

Cell: 7.1594 7.1594 7.3136 Å, 90.00 90.00 107.60°
With the nearest neighbours (Å) after each atom.
Atoms (fractional coordinates):
Pr 0.1944 0.1944 0.0000  2 Ho 3.17, 1 Pr 3.29, 2 Er 3.51
Pr 0.1944 0.1944 0.5000  2 Ho 3.17, 1 Pr 3.29, 2 Er 3.51
Pr 0.8056 0.8056 0.0000  2 Ho 3.17, 1 Pr 3.29, 2 Er 3.51
Pr 0.8056 0.8056 0.5000  2 Ho 3.17, 1 Pr 3.29, 2 Er 3.51
Dy 0.2380 0.7620 0.7500  1 Ho 3.22
Dy 0.7620 0.2380 0.2500  1 Ho 3.22
Ho 0.4833 0.5167 0.2500  1 Er 3.08, 4 Pr 3.17, 1 Dy 3.22
Ho 0.5167 0.4833 0.7500  1 Er 3.08, 4 Pr 3.17, 1 Dy 3.22
Er 0.2169 0.7831 0.2500  1 Ho 3.08
Er 0.7831 0.2169 0.7500  1 Ho 3.08

Results
**Symmetry**: Cmcm
**Crystal system**: orthorhombic
**Calculated formation energy**: 9.9 kcal/mol of atoms